VASP calculation (GGA-PBE) on a relaxed structure of TbEu2Sn.

Cell and atoms, written as CIF:
```
data_TbEu2Sn
_chemical_formula_sum 'Tb1 Eu2 Sn1'
_cell_length_a 4.882
_cell_length_b 4.882
_cell_length_c 5.170
_cell_angle_alpha 90.00
_cell_angle_beta 90.00
_cell_angle_gamma 90.00
_space_group_name_H-M_alt 'P 4/m m m'
_space_group_IT_number 123
_space_group_name_Hall '-P 4 2'
loop_
_atom_site_label
_atom_site_type_symbol
_atom_site_fract_x
_atom_site_fract_y
_atom_site_fract_z
_atom_site_occupancy
Tb1 Tb 0.000 0.000 0.000 1
Eu1 Eu 0.000 0.500 0.500 1
Sn1 Sn 0.500 0.500 0.000 1
```

total energy: -7.685 eV per atom

VASP calculation (GGA-PBE) on a relaxed structure of Na2ZnP.

Cell and atoms, written as CIF:
```
data_Na2ZnP
_chemical_formula_sum 'Na8 Zn4 P4'
_cell_length_a 4.127
_cell_length_b 4.127
_cell_length_c 19.907
_cell_angle_alpha 90.00
_cell_angle_beta 90.00
_cell_angle_gamma 90.00
_space_group_name_H-M_alt 'I -4 2 d'
_space_group_IT_number 122
_space_group_name_Hall 'I -4 2bw'
loop_
_atom_site_label
_atom_site_type_symbol
_atom_site_fract_x
_atom_site_fract_y
_atom_site_fract_z
_atom_site_occupancy
Na1 Na 0.233 0.250 0.125 1
Zn1 Zn 0.000 0.000 0.500 1
P1 P 0.000 0.000 0.000 1
```

energy above the lowest structure with this stoichiometry: 182 meV per atom

VASP calculation (GGA-PBE) on a relaxed structure of LaScSi3.

Cell and atoms, written as CIF:
```
data_LaScSi3
_chemical_formula_sum 'La1 Sc1 Si3'
_cell_length_a 4.929
_cell_length_b 4.929
_cell_length_c 4.929
_cell_angle_alpha 90.00
_cell_angle_beta 90.00
_cell_angle_gamma 90.00
_space_group_name_H-M_alt 'P m -3 m'
_space_group_IT_number 221
_space_group_name_Hall '-P 4 2 3'
loop_
_atom_site_label
_atom_site_type_symbol
_atom_site_fract_x
_atom_site_fract_y
_atom_site_fract_z
_atom_site_occupancy
La1 La 0.000 0.000 0.000 1
Sc1 Sc 0.500 0.500 0.500 1
Si1 Si 0.000 0.500 0.500 1
```

E_form (uncorrected): 0.10 eV per formula unit
energy above the lowest structure with this stoichiometry: 714 meV per atom

VASP calculation (GGA-PBE) on a relaxed structure of CsNaSe2O6.

Cell and atoms, written as CIF:
```
data_CsNaSe2O6
_chemical_formula_sum 'Cs4 Na4 Se8 O24'
_cell_length_a 10.925
_cell_length_b 10.970
_cell_length_c 6.743
_cell_angle_alpha 90.00
_cell_angle_beta 107.81
_cell_angle_gamma 90.00
_space_group_name_H-M_alt 'C 1 2/c 1'
_space_group_IT_number 15
loop_
_space_group_symop_operation_xyz
'x,y,z'
'-x,-y,-z'
'-x,y,-z+1/2'
'x,-y,z+1/2'
'x+1/2,y+1/2,z'
'-x+1/2,-y+1/2,-z'
'-x+1/2,y+1/2,-z+1/2'
'x+1/2,-y+1/2,z+1/2'
loop_
_atom_site_label
_atom_site_type_symbol
_atom_site_fract_x
_atom_site_fract_y
_atom_site_fract_z
_atom_site_occupancy
Cs1 Cs 0.000 0.203 0.250 1
Na1 Na 0.000 0.409 0.750 1
Se1 Se 0.218 0.080 0.799 1
O1 O 0.120 0.431 0.116 1
O2 O 0.163 0.013 0.078 1
O3 O 0.174 0.224 0.734 1
```

E_form (uncorrected): -10.57 eV per formula unit

VASP calculation (GGA-PBE) on a relaxed structure of Pu6RuRh2.

Cell and atoms, written as CIF:
```
data_Pu6RuRh2
_chemical_formula_sum 'Pu12 Ru2 Rh4'
_cell_length_a 9.962
_cell_length_b 4.838
_cell_length_c 8.337
_cell_angle_alpha 90.00
_cell_angle_beta 117.17
_cell_angle_gamma 90.00
_space_group_name_H-M_alt 'C 1 2/m 1'
_space_group_IT_number 12
loop_
_space_group_symop_operation_xyz
'x,y,z'
'-x,-y,-z'
'-x,y,-z'
'x,-y,z'
'x+1/2,y+1/2,z'
'-x+1/2,-y+1/2,-z'
'-x+1/2,y+1/2,-z'
'x+1/2,-y+1/2,z'
loop_
_atom_site_label
_atom_site_type_symbol
_atom_site_fract_x
_atom_site_fract_y
_atom_site_fract_z
_atom_site_occupancy
Pu1 Pu 0.009 0.000 0.329 1
Pu2 Pu 0.152 0.500 0.982 1
Pu3 Pu 0.166 0.500 0.682 1
Ru1 Ru 0.000 0.000 0.000 1
Rh1 Rh 0.182 0.500 0.346 1
```

energy above the lowest structure with this stoichiometry: 0 meV per atom

VASP calculation (GGA-PBE) on a relaxed structure of NpSi2Rh5.

Cell and atoms, written as CIF:
```
data_NpSi2Rh5
_chemical_formula_sum 'Np2 Si4 Rh10'
_cell_length_a 3.832
_cell_length_b 6.805
_cell_length_c 9.671
_cell_angle_alpha 90.00
_cell_angle_beta 90.00
_cell_angle_gamma 90.00
_space_group_name_H-M_alt 'I m m m'
_space_group_IT_number 71
_space_group_name_Hall '-I 2 2'
loop_
_atom_site_label
_atom_site_type_symbol
_atom_site_fract_x
_atom_site_fract_y
_atom_site_fract_z
_atom_site_occupancy
Np1 Np 0.000 0.000 0.000 1
Si1 Si 0.000 0.500 0.240 1
Rh1 Rh 0.000 0.203 0.356 1
Rh2 Rh 0.000 0.500 0.000 1
```

E_form (uncorrected): -4.92 eV per formula unit

VASP calculation (GGA-PBE) on a relaxed structure of NaPaSe2O8.

Cell and atoms, written as CIF:
```
data_NaPaSe2O8
_chemical_formula_sum 'Na2 Pa2 Se4 O16'
_cell_length_a 7.238
_cell_length_b 7.238
_cell_length_c 6.627
_cell_angle_alpha 90.00
_cell_angle_beta 90.00
_cell_angle_gamma 90.00
_space_group_name_H-M_alt 'I -4 m 2'
_space_group_IT_number 119
_space_group_name_Hall 'I -4 -2'
loop_
_atom_site_label
_atom_site_type_symbol
_atom_site_fract_x
_atom_site_fract_y
_atom_site_fract_z
_atom_site_occupancy
Na1 Na 0.000 0.000 0.000 1
Pa1 Pa 0.000 0.500 0.750 1
Se1 Se 0.000 0.000 0.500 1
Se2 Se 0.000 0.500 0.250 1
O1 O 0.000 0.209 0.679 1
O2 O 0.000 0.323 0.087 1
```

E_form (uncorrected): -18.83 eV per formula unit

VASP calculation (GGA-PBE) on a relaxed structure of UAlVRe.

Cell and atoms, written as CIF:
```
data_UAlVRe
_chemical_formula_sum 'U4 Al4 V4 Re4'
_cell_length_a 6.425
_cell_length_b 6.425
_cell_length_c 6.425
_cell_angle_alpha 90.00
_cell_angle_beta 90.00
_cell_angle_gamma 90.00
_space_group_name_H-M_alt 'F -4 3 m'
_space_group_IT_number 216
_space_group_name_Hall 'F -4 2 3'
loop_
_atom_site_label
_atom_site_type_symbol
_atom_site_fract_x
_atom_site_fract_y
_atom_site_fract_z
_atom_site_occupancy
U1 U 0.000 0.000 0.000 1
Al1 Al 0.000 0.000 0.500 1
V1 V 0.250 0.250 0.250 1
Re1 Re 0.250 0.250 0.750 1
```

total energy: -9.140 eV per atom

VASP calculation (GGA-PBE) on a relaxed structure of Mg5Cd4Hg2.

Cell and atoms, written as CIF:
```
data_Mg5Cd4Hg2
_chemical_formula_sum 'Mg10 Cd8 Hg4'
_cell_length_a 7.645
_cell_length_b 17.469
_cell_length_c 3.640
_cell_angle_alpha 90.00
_cell_angle_beta 90.00
_cell_angle_gamma 90.00
_space_group_name_H-M_alt 'P b a m'
_space_group_IT_number 55
loop_
_space_group_symop_operation_xyz
'x,y,z'
'-x,-y,-z'
'-x,-y,z'
'x,y,-z'
'x+1/2,-y+1/2,-z'
'-x+1/2,y+1/2,z'
'-x+1/2,y+1/2,-z'
'x+1/2,-y+1/2,z'
loop_
_atom_site_label
_atom_site_type_symbol
_atom_site_fract_x
_atom_site_fract_y
_atom_site_fract_z
_atom_site_occupancy
Mg1 Mg 0.000 0.000 0.000 1
Mg2 Mg 0.121 0.425 0.000 1
Mg3 Mg 0.235 0.206 0.000 1
Cd1 Cd 0.079 0.862 0.500 1
Cd2 Cd 0.210 0.559 0.500 1
Hg1 Hg 0.036 0.301 0.500 1
```

total energy: -1.233 eV per atom

VASP calculation (GGA-PBE) on a relaxed structure of ReAsRhSe2.

Cell and atoms, written as CIF:
```
data_ReAsRhSe2
_chemical_formula_sum 'Re1 As1 Rh1 Se2'
_cell_length_a 4.827
_cell_length_b 4.827
_cell_length_c 4.796
_cell_angle_alpha 90.00
_cell_angle_beta 90.00
_cell_angle_gamma 90.00
_space_group_name_H-M_alt 'P 4/m m m'
_space_group_IT_number 123
_space_group_name_Hall '-P 4 2'
loop_
_atom_site_label
_atom_site_type_symbol
_atom_site_fract_x
_atom_site_fract_y
_atom_site_fract_z
_atom_site_occupancy
Re1 Re 0.000 0.000 0.000 1
As1 As 0.000 0.000 0.500 1
Rh1 Rh 0.500 0.500 0.500 1
Se1 Se 0.000 0.500 0.000 1
```

E_form (uncorrected): 4.88 eV per formula unit
energy above the lowest structure with this stoichiometry: 0 meV per atom

VASP calculation (GGA-PBE) on a relaxed structure of Ta2AlSi.

Cell and atoms, written as CIF:
```
data_Ta2AlSi
_chemical_formula_sum 'Ta2 Al1 Si1'
_cell_length_a 3.618
_cell_length_b 4.050
_cell_length_c 4.409
_cell_angle_alpha 90.00
_cell_angle_beta 90.00
_cell_angle_gamma 90.00
_space_group_name_H-M_alt 'P m m m'
_space_group_IT_number 47
loop_
_space_group_symop_operation_xyz
'x,y,z'
'-x,-y,-z'
'-x,-y,z'
'x,y,-z'
'x,-y,-z'
'-x,y,z'
'-x,y,-z'
'x,-y,z'
loop_
_atom_site_label
_atom_site_type_symbol
_atom_site_fract_x
_atom_site_fract_y
_atom_site_fract_z
_atom_site_occupancy
Ta1 Ta 0.000 0.000 0.000 1
Ta2 Ta 0.500 0.000 0.500 1
Al1 Al 0.000 0.500 0.500 1
Si1 Si 0.500 0.500 0.000 1
```

E_form (uncorrected): -0.80 eV per formula unit
energy above the lowest structure with this stoichiometry: 31 meV per atom

VASP calculation (GGA-PBE) on a relaxed structure of BaZnW4.

Cell and atoms, written as CIF:
```
data_BaZnW4
_chemical_formula_sum 'Ba4 Zn4 W16'
_cell_length_a 7.845
_cell_length_b 7.845
_cell_length_c 7.845
_cell_angle_alpha 90.00
_cell_angle_beta 90.00
_cell_angle_gamma 90.00
_space_group_name_H-M_alt 'F -4 3 m'
_space_group_IT_number 216
_space_group_name_Hall 'F -4 2 3'
loop_
_atom_site_label
_atom_site_type_symbol
_atom_site_fract_x
_atom_site_fract_y
_atom_site_fract_z
_atom_site_occupancy
Ba1 Ba 0.000 0.000 0.000 1
Zn1 Zn 0.250 0.250 0.250 1
W1 W 0.125 0.125 0.625 1
```

total energy: -8.118 eV per atom

no.,magnetic moment (μB/cell),DOS(E_F) (states/eV/cell)
1,14.71,3.4
2,0.00,5.1
3,0.00,2.0
4,0.00,13.9
5,18.90,67.2
6,6.19,22.6
7,0.00,0.0
8,4.28,28.6
9,0.00,5.7
10,0.37,5.4
11,0.00,1.9
12,0.00,25.6